A geometry-optimized ZnRe2Ru structure. Source: Alexandria, functional GGA-PBE.

V, A^3/atom: 14.54
Magnetic moment, μB/atom: 0.0000
Formation enthalpy at 0 K, eV per atom: 0.27

abc: 5.1734 8.2329 2.7302
angles: 90.00 90.53 90.00
With the nearest neighbours (Å) after each atom.
Space group C2/m (No. 12)
One atom of each set of equivalent atoms:
Zn 0.0000 0.0000 0.0000 (multiplicity 2)  2 Ru 2.59, 2 Zn 2.73, 8 Re 2.78-2.79
Re 0.2500 0.2500 0.5000 (multiplicity 4)  4 Re 2.59-2.73, 4 Ru 2.78-2.79, 4 Zn 2.78-2.79
Ru 0.0000 0.5000 0.0000 (multiplicity 2)  2 Zn 2.59, 2 Ru 2.73, 8 Re 2.78-2.79